First-principles (PBE-GGA) data for crystalline HfNb2Co at its relaxed geometry, as listed in Alexandria via LeMat-Bulk.

Cell: 10.0809 10.0809 10.0809 Å, 16.47 16.47 16.47°
Fractional positions:
Hf 0.0000 0.0000 0.0000
Nb 0.0965 0.0965 0.0965
Nb 0.9035 0.9035 0.9035
Co 0.5000 0.5000 0.5000

## Properties
* offset from the most stable computed form: 0.546 eV/atom
* N(E_F): 4.86 states/eV/f.u.
* crystal system: trigonal
* volume: 72 Å³/f.u.
* magnetization: 0.21 μB/atom
* formation enthalpy at 0 K: 432.5 meV per atom
* theoretical density: 9793 kg/m³

***

First-principles (PBE-GGA) data for crystalline HfNb2Co9 at its relaxed geometry, as listed in Alexandria via LeMat-Bulk.

Cell: 8.2522 8.2522 8.2522 Å, 33.37 33.37 33.37°
Fractional positions:
Hf 0.0000 0.0000 0.0000
Nb 0.1386 0.1386 0.1386
Nb 0.8614 0.8614 0.8614
Co 0.0805 0.5866 0.5866
Co 0.3346 0.3346 0.3346
Co 0.4134 0.4134 0.9195
Co 0.4134 0.9195 0.4134
Co 0.5000 0.5000 0.5000
Co 0.5866 0.0805 0.5866
Co 0.5866 0.5866 0.0805
Co 0.6654 0.6654 0.6654
Co 0.9195 0.4134 0.4134

## Properties
* N(E_F): 20.92 states/eV/f.u.
* crystal system: trigonal
* volume: 151 Å³/f.u.
* magnetization: 0.50 μB/atom
* formation enthalpy at 0 K: -171.0 meV per atom
* theoretical density: 9813 kg/m³

***

Question: Which of these has the highest magnetization?
Answer: HfNb2Co9

***

Question: Which value of theoretical density does entry 1 give?
Answer: 9793 kg/m³

***

Repeat the first record exactly.
First-principles (PBE-GGA) data for crystalline HfNb2Co at its relaxed geometry, as listed in Alexandria via LeMat-Bulk.

Cell: 10.0809 10.0809 10.0809 Å, 16.47 16.47 16.47°
Fractional positions:
Hf 0.0000 0.0000 0.0000
Nb 0.0965 0.0965 0.0965
Nb 0.9035 0.9035 0.9035
Co 0.5000 0.5000 0.5000

## Properties
* offset from the most stable computed form: 0.546 eV/atom
* N(E_F): 4.86 states/eV/f.u.
* crystal system: trigonal
* volume: 72 Å³/f.u.
* magnetization: 0.21 μB/atom
* formation enthalpy at 0 K: 432.5 meV per atom
* theoretical density: 9793 kg/m³

***

Question: Among the records above, which one has the lowest theoretical density?
Answer: HfNb2Co